[1]
Computed, not measured: a geometry-optimized Tb3Ga4Au structure at the GGA-PBE level of DFT.

Unit cell a=8.904 b=8.904 c=8.904 alpha=156.34 beta=138.46 gamma=48.36
Sites, in units of the cell vectors:
Tb 0.000 0.000 0.000
Tb 0.282 0.782 0.500
Tb 0.718 0.218 0.500
Ga 0.102 0.380 0.722
Ga 0.343 0.620 0.722
Ga 0.657 0.380 0.278
Ga 0.898 0.620 0.278
Au 0.500 0.500 0.000

## Properties
Calculated formation energy ... -0.434 eV per atom
Spin magnetization ... 0.000 μB per atom

***

[2]
Computed, not measured: a geometry-optimized SnHPd3 structure at the GGA-PBE level of DFT.

Unit cell a=7.242 b=7.242 c=5.088 alpha=90.00 beta=90.00 gamma=134.90
Sites, in units of the cell vectors:
Sn 0.175 0.825 0.750
Sn 0.825 0.175 0.250
H 0.410 0.590 0.750
H 0.590 0.410 0.250
Pd 0.000 0.000 0.000
Pd 0.000 0.000 0.500
Pd 0.081 0.403 0.750
Pd 0.403 0.081 0.250
Pd 0.597 0.919 0.750
Pd 0.919 0.597 0.250

## Properties
Energy relative to the lowest polymorph listed for this composition ... 337.6 meV/atom
Spin magnetization ... 0.000 μB per atom

***

[3]
Computed, not measured: a geometry-optimized ReNiBP structure at the GGA-PBE level of DFT.

Unit cell a=5.585 b=5.585 c=5.585 alpha=148.76 beta=148.76 gamma=44.76
Sites, in units of the cell vectors:
Re 0.000 0.000 0.000
Ni 0.325 0.325 0.000
B 0.793 0.793 0.000
P 0.610 0.610 0.000

## Properties
Calculated formation energy ... -0.061 eV per atom
Energy relative to the lowest polymorph listed for this composition ... 111.4 meV/atom
Spin magnetization ... 0.000 μB per atom